Here is a relaxed structure of GdTaN2O from OQMD via LeMat-Bulk. Energies are from PBE.

Geometry as CIF:
```
data_GdTaN2O
_cell_length_a 7.879
_cell_length_b 8.030
_cell_length_c 11.073
_cell_angle_alpha 90.00
_cell_angle_beta 134.61
_cell_angle_gamma 90.00
_symmetry_space_group_name_H-M 'P 1 21/c 1'
_symmetry_Int_Tables_number 14
_symmetry_space_group_name_Hall '-P 2ybc'
loop_
_atom_site_label
_atom_site_type_symbol
_atom_site_fract_x
_atom_site_fract_y
_atom_site_fract_z
Gd1 Gd 0.225 0.006 0.485
Gd2 Gd 0.238 0.504 0.495
Ta1 Ta 0.264 0.248 0.255
Ta2 Ta 0.265 0.748 0.760
N1 N 0.190 0.002 0.211
N2 N 0.226 0.502 0.251
N3 N 0.430 0.244 0.681
N4 N 0.431 0.729 0.000
O1 O 0.079 0.735 0.000
O2 O 0.081 0.248 0.831
```

Values from the calculation:
The volume is 498.7 Å³ per cell. The calculation puts the mass density at 10.18 Mg/m³. The value obtained for the total energy is -9.5568 eV per atom.